## Li2TaNi (PBE)

Data for crystalline Li2TaNi at its relaxed geometry.

Its polymorph energy (0 for the lowest one) is 0.00 eV per formula unit. The formation energy comes out at 0.110 eV/atom. For the electronic total energy, the calculation gives -5.2558 eV per atom.

The structure belongs to space group Cmm2 (No. 35); the cell edges are 3.348, 4.314 and 8.768 Å and the angles 90.00°, 90.00° and 90.00°. The distinct sites, in fractional coordinates, are Li at (0.000, 0.000, 0.000), Li at (0.000, 0.500, 0.286), Ta at (0.000, 0.000, 0.572) and Ni at (0.000, 0.500, 0.789).